Compound: Er2Ge4IrPt3
Source: the Alexandria database
Functional: PBE
Structure: relaxed

Cell lengths 4.096, 4.096, 10.932 Å; angles 90.00, 90.00, 90.00 degrees
Space group P-4m2 (No. 115)
Inequivalent atoms, fractional coordinates:
Er: 0.000 0.500 0.239 x2
Ge: 0.000 0.000 0.500 x1
Ge: 0.000 0.500 0.865 x2
Ge: 0.500 0.500 0.500 x1
Ir: 0.500 0.500 0.000 x1
Pt: 0.000 0.000 0.000 x1
Pt: 0.000 0.500 0.644 x2

Values from the calculation:
Energy of formation ... -0.840 eV per atom